Entry from the Alexandria database: a relaxed structure of SrMo2P (PBE).

Calculated values
Energy of formation ... 0.3787 eV per atom
VASP energy ... -27.2 eV for the cell shown
Magnetization ... 0.00 μB per cell
Symmetry ... No. 10
Density of states at the Fermi level ... 3.6 states/eV/f.u.

Cell: 4.6039 4.3288 4.4049 Å, 80.38 90.00 90.00°
With the nearest neighbours (Å) after each atom.
Sites, in units of the cell vectors:
Mo: 0.0000 0.3314 0.8341  1 Mo 2.23
Mo: 0.0000 0.6686 0.1659  1 Mo 2.23
P: 0.5000 0.5000 0.0000  4 Mo 2.56, 2 Sr 2.82
Sr: 0.5000 0.0000 0.5000  2 P 2.82

---

Entry from the Alexandria database: a relaxed structure of Tb3NiB7 (PBE).

Calculated values
Energy of formation ... -0.4913 eV per atom
VASP energy ... -143.6 eV for the cell shown
Magnetization ... 0.00 μB per cell
Symmetry ... No. 63
Density of states at the Fermi level ... 4.8 states/eV/f.u.

Cell: 3.4458 8.0992 9.3859 Å, 90.00 90.00 102.28°
With the nearest neighbours (Å) after each atom.
Sites, in units of the cell vectors:
Tb: 0.7571 0.5142 0.2500  10 B 2.65-2.69, 1 Ni 2.97
Tb: 0.2429 0.4858 0.7500  10 B 2.65-2.69, 1 Ni 2.97
Tb: 0.1055 0.2110 0.4374  11 B 2.62-2.73
Tb: 0.1055 0.2110 0.0626  11 B 2.62-2.73
Tb: 0.8945 0.7890 0.5626  11 B 2.62-2.73
Tb: 0.8945 0.7890 0.9374  11 B 2.62-2.73
B: 0.5214 0.0429 0.9073  3 B 1.73-1.87
B: 0.6299 0.2597 0.8486  3 B 1.80-1.90
B: 0.6299 0.2597 0.6514  3 B 1.80-1.90
B: 0.4646 0.9293 0.7500  2 B 1.73
B: 0.3701 0.7403 0.3486  3 B 1.80-1.90
B: 0.3701 0.7403 0.1514  3 B 1.80-1.90
B: 0.7270 0.4539 0.5319  3 B 1.90-1.96
B: 0.5214 0.0429 0.5927  3 B 1.73-1.87
B: 0.2730 0.5461 0.0319  3 B 1.90-1.96
B: 0.4786 0.9571 0.0927  3 B 1.73-1.87
B: 0.4786 0.9571 0.4073  3 B 1.73-1.87
B: 0.2730 0.5461 0.4681  3 B 1.90-1.96
B: 0.5354 0.0707 0.2500  2 B 1.73
B: 0.7270 0.4539 0.9681  3 B 1.90-1.96
Ni: 0.9445 0.8889 0.2500  10 B 2.24-2.33
Ni: 0.0555 0.1111 0.7500  10 B 2.24-2.33

---

Entry from the Alexandria database: a relaxed structure of Hf6Pb2S (PBE).

Calculated values
Formation energy (no corrections) ... -262 meV per atom
VASP energy ... -147.2 eV for the cell shown
Magnetization ... 0.00 μB per cell
Symmetry ... No. 14
Density of states at the Fermi level ... 5.9 states/eV/f.u.

Cell: 6.0456 6.9034 9.5235 Å, 90.00 90.71 90.00°
With the nearest neighbours (Å) after each atom.
Sites, in units of the cell vectors:
Hf: 0.1587 0.3298 0.4729  1 S 2.48
Hf: 0.3635 0.7823 0.4712  1 S 2.68, 2 Pb 2.99-3.00
Hf: 0.3413 0.8298 0.0271  1 S 2.48
Hf: 0.6263 0.4885 0.2571  1 S 2.56
Hf: 0.6365 0.2177 0.5288  1 S 2.68, 2 Pb 2.99-3.00
Hf: 0.8737 0.9885 0.2429  1 S 2.56
Hf: 0.8635 0.7177 0.9712  1 S 2.68, 2 Pb 2.99-3.00
Hf: 0.6587 0.1702 0.9729  1 S 2.48
Hf: 0.1263 0.0115 0.7571  1 S 2.56
Hf: 0.3737 0.5115 0.7429  1 S 2.56
Hf: 0.1365 0.2823 0.0288  1 S 2.68, 2 Pb 2.99-3.00
Hf: 0.8413 0.6702 0.5271  1 S 2.48
Pb: 0.0951 0.6001 0.2395  8 Hf 2.92-3.19
Pb: 0.9049 0.3999 0.7605  8 Hf 2.92-3.19
Pb: 0.4049 0.1001 0.2605  8 Hf 2.92-3.19
Pb: 0.5951 0.8999 0.7395  8 Hf 2.92-3.19
S: 0.0000 0.0000 0.5000  6 Hf 2.48-2.68
S: 0.5000 0.5000 0.0000  6 Hf 2.48-2.68

---

Entry from the Alexandria database: a relaxed structure of CeNb2S4 (PBE).

Calculated values
Formation energy (no corrections) ... -1266 meV per atom
VASP energy ... -102.9 eV for the cell shown
Magnetization ... 1.23 μB per cell
Symmetry ... No. 63
Density of states at the Fermi level ... 6.0 states/eV/f.u.

Cell: 3.6649 6.1402 12.6923 Å, 90.00 90.00 107.36°
With the nearest neighbours (Å) after each atom.
Sites, in units of the cell vectors:
Nb: 0.8316 0.6632 0.9433  4 S 2.41-2.67
Nb: 0.8316 0.6632 0.5567  4 S 2.41-2.67
Nb: 0.1684 0.3368 0.4433  4 S 2.41-2.67
Nb: 0.1684 0.3368 0.0567  4 S 2.41-2.67
S: 0.7833 0.5667 0.1278  3 Nb 2.41-2.45
S: 0.2167 0.4333 0.8722  3 Nb 2.41-2.45
S: 0.5000 0.0000 0.0000  4 Nb 2.79
S: 0.5000 0.0000 0.5000  4 Nb 2.79
S: 0.2167 0.4333 0.6278  3 Nb 2.41-2.45
S: 0.9220 0.8440 0.7500  2 Nb 2.67, 2 Ce 2.72
S: 0.0780 0.1560 0.2500  2 Nb 2.67, 2 Ce 2.72
S: 0.7833 0.5667 0.3722  3 Nb 2.41-2.45
Ce: 0.4063 0.8127 0.2500  6 S 2.72-2.80
Ce: 0.5937 0.1873 0.7500  6 S 2.72-2.80